The following is a DFT calculation (PBE) of SrHg2SbH after structural relaxation.

abc: 4.899 4.899 4.831
angles: 90.00 90.00 90.00
Fractional positions:
Sr  0.000  0.000  0.000
Hg  0.000  0.500  0.500
Hg  0.500  0.000  0.500
Sb  0.500  0.500  0.000
H  0.000  0.000  0.500

Properties
ΔE to the lowest computed polymorph = 0.0 meV per atom